RbB2Sb2Se6: optimized geometry, PBE-GGA.

As for the total energy: -4.22 eV/atom. For the energy relative to the elements, uncorrected, the calculation gives -265 meV per atom. As for the magnetization: 0.00 Bohr magnetons per cell.

abc: 6.234 6.746 10.292
angles: 106.34 92.71 117.03
Element x y z (fractional)
Rb1 0.000 0.000 0.000
B1 0.084 0.512 0.721
B2 0.916 0.488 0.279
Sb1 0.254 0.887 0.557
Sb2 0.746 0.113 0.443
Se1 0.013 0.189 0.705
Se2 0.195 0.475 0.375
Se3 0.388 0.807 0.802
Se4 0.612 0.193 0.198
Se5 0.805 0.525 0.625
Se6 0.987 0.811 0.295


Rb2SnBSb: optimized geometry, PBE-GGA.

As for the total energy: -2.78 eV/atom. For the energy relative to the elements, uncorrected, the calculation gives 564 meV per atom. As for the magnetization: 0.52 Bohr magnetons per cell.

abc: 7.202 7.202 3.993
angles: 90.00 90.00 90.00
Element x y z (fractional)
Rb1 0.000 0.500 0.000
Rb2 0.500 0.000 0.000
Sn1 0.000 0.000 0.000
B1 0.000 0.000 0.500
Sb1 0.500 0.500 0.500


Rb2SrBSb: optimized geometry, PBE-GGA.

As for the total energy: -2.34 eV/atom. For the energy relative to the elements, uncorrected, the calculation gives 547 meV per atom. As for the magnetization: 2.13 Bohr magnetons per cell.

abc: 5.737 5.737 5.900
angles: 90.00 90.00 90.00
Element x y z (fractional)
Rb1 0.000 0.500 0.000
Rb2 0.500 0.000 0.000
Sr1 0.000 0.000 0.500
B1 0.000 0.000 0.000
Sb1 0.500 0.500 0.500


RbScB3: optimized geometry, PBE-GGA.

The value obtained for the formation enthalpy at 0 K is 1.76 eV per atom. As for the total energy: -3.70 eV/atom. The energy above the lowest structure with this stoichiometry comes out at 0 meV per atom. As for the magnetization: 2.02 Bohr magnetons per cell.

abc: 4.788 4.788 4.788
angles: 90.00 90.00 90.00
Element x y z (fractional)
Rb1 0.000 0.000 0.000
Sc1 0.500 0.500 0.500
B1 0.000 0.500 0.500
B2 0.500 0.000 0.500
B3 0.500 0.500 0.000


- Look up the total energy of the fourth one.
  -3.70 eV/atom